[1]
Density functional theory data (PBE) for an optimized crystal structure of Ag2PPt.

Summary:
**Uncorrected energy**: -17.1 eV per cell

a = 5.3592 Å, b = 5.3592 Å, c = 5.3592 Å
α = 143.58°, β = 130.20°, γ = 63.25°
With the nearest neighbours (Å) after each atom.
Sites, in units of the cell vectors:
Ag (0.0000, 0.0000, 0.0000)  4 Pt 2.87, 4 P 2.92-3.13, 4 Ag 2.94-3.16
Ag (0.7064, 0.2064, 0.5000)  4 P 2.86, 4 Ag 2.94-3.16, 4 Pt 2.99-3.07
P (0.2625, 0.7625, 0.5000)  2 Pt 2.30
Pt (0.4348, 0.4348, 0.0000)  2 P 2.30



[2]
Density functional theory data (PBE) for an optimized crystal structure of FeAgSe.

Summary:
**Relative energy among the computed polymorphs**: 0 meV/atom
**Formation energy from raw total energies**: 117 meV per atom
**Uncorrected energy**: -28.9 eV per cell

a = 3.9108 Å, b = 3.9108 Å, c = 6.4679 Å
α = 90.00°, β = 90.00°, γ = 90.00°
With the nearest neighbours (Å) after each atom.
Sites, in units of the cell vectors:
Fe (0.2500, 0.7500, 0.0000)  4 Se 2.35
Fe (0.7500, 0.2500, 0.0000)  4 Se 2.35
Ag (0.2500, 0.2500, 0.3653)  5 Se 2.81-2.96, 4 Fe 3.07
Ag (0.7500, 0.7500, 0.6347)  5 Se 2.81-2.96, 4 Fe 3.07
Se (0.2500, 0.2500, 0.7993)  4 Fe 2.35
Se (0.7500, 0.7500, 0.2007)  4 Fe 2.35



[3]
Density functional theory data (PBE) for an optimized crystal structure of NdHo2Pb.

Summary:
**Relative energy among the computed polymorphs**: 107 meV/atom
**Uncorrected energy**: -18.4 eV per cell

a = 3.6420 Å, b = 3.6420 Å, c = 9.3134 Å
α = 90.00°, β = 90.00°, γ = 90.00°
With the nearest neighbours (Å) after each atom.
Sites, in units of the cell vectors:
Nd (0.0000, 0.0000, 0.0000)  8 Ho 3.60, 4 Nd 3.64
Ho (0.5000, 0.5000, 0.2700)  4 Pb 3.35, 4 Nd 3.60, 4 Ho 3.64
Ho (0.5000, 0.5000, 0.7300)  4 Pb 3.35, 4 Nd 3.60, 4 Ho 3.64
Pb (0.0000, 0.0000, 0.5000)  8 Ho 3.35, 4 Pb 3.64



[4]
Density functional theory data (PBE) for an optimized crystal structure of Ag2PbI4.

Summary:
**Relative energy among the computed polymorphs**: 69 meV/atom
**Formation energy from raw total energies**: -328 meV per atom
**Uncorrected energy**: -17.9 eV per cell

a = 7.6325 Å, b = 7.6325 Å, c = 7.6325 Å
α = 130.85°, β = 130.85°, γ = 72.05°
With the nearest neighbours (Å) after each atom.
Sites, in units of the cell vectors:
Ag (0.2500, 0.7500, 0.5000)  6 I 3.09-3.18
Ag (0.7500, 0.2500, 0.5000)  6 I 3.09-3.18
Pb (0.0000, 0.0000, 0.0000)  6 I 3.17-3.21
I (0.0000, 0.5000, 0.5000)  2 Ag 3.09, 2 Pb 3.17
I (0.2597, 0.2597, 0.0000)  4 Ag 3.18, 1 Pb 3.21
I (0.5000, 0.0000, 0.5000)  2 Ag 3.09, 2 Pb 3.17
I (0.7403, 0.7403, 0.0000)  4 Ag 3.18, 1 Pb 3.21



[5]
Density functional theory data (PBE) for an optimized crystal structure of Na3GaGe.

Summary:
**Relative energy among the computed polymorphs**: 0 meV/atom
**Uncorrected energy**: -23.5 eV per cell

a = 7.1190 Å, b = 7.1190 Å, c = 7.3232 Å
α = 118.20°, β = 118.20°, γ = 82.63°
With the nearest neighbours (Å) after each atom.
Sites, in units of the cell vectors:
Na (0.0526, 0.0526, 0.2767)  2 Ge 2.93-3.10, 1 Ga 3.03
Na (0.0908, 0.4735, 0.8105)  2 Ge 3.03-3.09, 1 Ga 3.25
Na (0.4735, 0.0908, 0.8105)  2 Ge 3.03-3.09, 1 Ga 3.25
Na (0.5265, 0.9092, 0.1895)  2 Ge 3.03-3.09, 1 Ga 3.25
Na (0.9092, 0.5265, 0.1895)  2 Ge 3.03-3.09, 1 Ga 3.25
Na (0.9474, 0.9474, 0.7233)  2 Ge 2.93-3.10, 1 Ga 3.03
Ga (0.4174, 0.4174, 0.5985)  2 Ge 2.50-2.60
Ga (0.5826, 0.5826, 0.4015)  2 Ge 2.50-2.60
Ge (0.2825, 0.2825, 0.1541)  2 Ga 2.50-2.60
Ge (0.7175, 0.7175, 0.8459)  2 Ga 2.50-2.60



[6]
Density functional theory data (PBE) for an optimized crystal structure of ScInAg4.

Summary:
**Uncorrected energy**: -21.1 eV per cell

a = 4.7709 Å, b = 4.7709 Å, c = 6.0144 Å
α = 90.00°, β = 90.00°, γ = 120.00°
With the nearest neighbours (Å) after each atom.
Sites, in units of the cell vectors:
Sc (0.0000, 0.0000, 0.0000)  2 In 3.01, 12 Ag 3.13
In (0.0000, 0.0000, 0.5000)  2 Sc 3.01, 12 Ag 3.15
Ag (0.3333, 0.6667, 0.2458)  5 Ag 2.75-3.06
Ag (0.3333, 0.6667, 0.7542)  5 Ag 2.75-3.06
Ag (0.6667, 0.3333, 0.2458)  5 Ag 2.75-3.06
Ag (0.6667, 0.3333, 0.7542)  5 Ag 2.75-3.06



[7]
Density functional theory data (PBE) for an optimized crystal structure of Li2ZnCo2.

Summary:
**Uncorrected energy**: -36.1 eV per cell

a = 6.0586 Å, b = 6.0586 Å, c = 3.7772 Å
α = 90.00°, β = 90.00°, γ = 90.00°
With the nearest neighbours (Å) after each atom.
Sites, in units of the cell vectors:
Li (0.1710, 0.3290, 0.0000)  6 Co 2.57-2.62
Li (0.3290, 0.8290, 0.0000)  6 Co 2.57-2.62
Li (0.6710, 0.1710, 0.0000)  6 Co 2.57-2.62
Li (0.8290, 0.6710, 0.0000)  6 Co 2.57-2.62
Zn (0.0000, 0.0000, 0.5000)  4 Co 2.39
Zn (0.5000, 0.5000, 0.5000)  4 Co 2.39
Co (0.1255, 0.6255, 0.5000)  1 Co 2.15, 2 Zn 2.39
Co (0.3745, 0.1255, 0.5000)  1 Co 2.15, 2 Zn 2.39
Co (0.6255, 0.8745, 0.5000)  1 Co 2.15, 2 Zn 2.39
Co (0.8745, 0.3745, 0.5000)  1 Co 2.15, 2 Zn 2.39



[8]
Density functional theory data (PBE) for an optimized crystal structure of TiPtRh3.

Summary:
**Relative energy among the computed polymorphs**: 1827 meV/atom
**Uncorrected energy**: -29.4 eV per cell

a = 4.7332 Å, b = 4.7332 Å, c = 4.7332 Å
α = 90.00°, β = 90.00°, γ = 90.00°
With the nearest neighbours (Å) after each atom.
Sites, in units of the cell vectors:
Ti (0.0000, 0.0000, 0.0000)  12 Rh 3.35
Pt (0.5000, 0.5000, 0.5000)  6 Rh 2.37
Rh (0.0000, 0.5000, 0.5000)  2 Pt 2.37
Rh (0.5000, 0.0000, 0.5000)  2 Pt 2.37
Rh (0.5000, 0.5000, 0.0000)  2 Pt 2.37



[9]
Density functional theory data (PBE) for an optimized crystal structure of YTi2Os2.

Summary:
**Relative energy among the computed polymorphs**: 0 meV/atom
**Uncorrected energy**: -46.6 eV per cell

a = 6.3161 Å, b = 6.3161 Å, c = 6.3161 Å
α = 141.67°, β = 141.67°, γ = 55.33°
With the nearest neighbours (Å) after each atom.
Sites, in units of the cell vectors:
Y (0.0000, 0.0000, 0.0000)  8 Os 3.20, 8 Ti 3.48
Ti (0.2500, 0.7500, 0.5000)  4 Os 2.57
Ti (0.7500, 0.2500, 0.5000)  4 Os 2.57
Os (0.3852, 0.3852, 0.0000)  4 Ti 2.57, 1 Os 2.57
Os (0.6148, 0.6148, 0.0000)  4 Ti 2.57, 1 Os 2.57



[10]
Density functional theory data (PBE) for an optimized crystal structure of Ac3TbSm2Se6.

Summary:
**Formation energy from raw total energies**: -1828 meV per atom
**Uncorrected energy**: -69.2 eV per cell

a = 7.3605 Å, b = 7.3605 Å, c = 7.6333 Å
α = 99.26°, β = 99.26°, γ = 120.17°
With the nearest neighbours (Å) after each atom.
Sites, in units of the cell vectors:
Ac (0.0000, 0.0000, 0.0000)  6 Se 3.14-3.17
Ac (0.3313, 0.6687, 0.0000)  6 Se 3.14-3.16
Ac (0.6687, 0.3313, 0.0000)  6 Se 3.14-3.16
Tb (0.5000, 0.5000, 0.5000)  6 Se 2.92-2.93
Sm (0.1665, 0.8335, 0.5000)  6 Se 2.96-2.97
Sm (0.8335, 0.1665, 0.5000)  6 Se 2.96-2.97
Se (0.0961, 0.4249, 0.2740)  1 Tb 2.92, 2 Sm 2.96, 3 Ac 3.14-3.16
Se (0.2474, 0.2474, 0.7284)  1 Tb 2.93, 2 Sm 2.97, 3 Ac 3.15-3.17
Se (0.4249, 0.0961, 0.2740)  1 Tb 2.92, 2 Sm 2.96, 3 Ac 3.14-3.16
Se (0.5751, 0.9039, 0.7260)  1 Tb 2.92, 2 Sm 2.96, 3 Ac 3.14-3.16
Se (0.7526, 0.7526, 0.2716)  1 Tb 2.93, 2 Sm 2.97, 3 Ac 3.15-3.17
Se (0.9039, 0.5751, 0.7260)  1 Tb 2.92, 2 Sm 2.96, 3 Ac 3.14-3.16



[11]
Density functional theory data (PBE) for an optimized crystal structure of CeGaSnPt3.

Summary:
**Uncorrected energy**: -70.0 eV per cell

a = 8.9656 Å, b = 8.9656 Å, c = 5.6937 Å
α = 90.00°, β = 90.00°, γ = 143.28°
With the nearest neighbours (Å) after each atom.
Sites, in units of the cell vectors:
Ce (0.2037, 0.7963, 0.7500)  4 Pt 2.89-3.00
Ce (0.7963, 0.2037, 0.2500)  4 Pt 2.89-3.00
Ga (0.4063, 0.5937, 0.2500)  5 Pt 2.50-2.55
Ga (0.5937, 0.4063, 0.7500)  5 Pt 2.50-2.55
Sn (0.1025, 0.8975, 0.2500)  5 Pt 2.67
Sn (0.8975, 0.1025, 0.7500)  5 Pt 2.67
Pt (0.2537, 0.2537, 0.0000)  2 Ga 2.55, 2 Sn 2.67, 3 Pt 2.78-2.85
Pt (0.2537, 0.2537, 0.5000)  2 Ga 2.55, 2 Sn 2.67, 3 Pt 2.78-2.85
Pt (0.2595, 0.7405, 0.2500)  1 Ga 2.50, 1 Sn 2.67
Pt (0.7405, 0.2595, 0.7500)  1 Ga 2.50, 1 Sn 2.67
Pt (0.7463, 0.7463, 0.0000)  2 Ga 2.55, 2 Sn 2.67, 3 Pt 2.78-2.85
Pt (0.7463, 0.7463, 0.5000)  2 Ga 2.55, 2 Sn 2.67, 3 Pt 2.78-2.85



[12]
Density functional theory data (PBE) for an optimized crystal structure of ScZn2CdPd.

Summary:
**Uncorrected energy**: -14.5 eV per cell

a = 4.7314 Å, b = 4.7314 Å, c = 5.0529 Å
α = 90.00°, β = 90.00°, γ = 90.00°
With the nearest neighbours (Å) after each atom.
Sites, in units of the cell vectors:
Sc (0.0000, 0.0000, 0.0000)  4 Cd 3.35, 8 Zn 3.46
Zn (0.0000, 0.5000, 0.5000)  2 Pd 2.37
Zn (0.5000, 0.0000, 0.5000)  2 Pd 2.37
Cd (0.5000, 0.5000, 0.0000)  2 Pd 2.53
Pd (0.5000, 0.5000, 0.5000)  4 Zn 2.37, 2 Cd 2.53